Record 1
Computed, not measured: a geometry-optimized BaCdBi2 structure at the GGA-PBE level of DFT.

## Properties
The value obtained for the final energy is -23.51 eV for the cell shown. The total moment is 0.0 μB/f.u. For the density of states at the Fermi level, the calculation gives 1.56 states/eV/f.u. The formation energy comes out at -289 meV/atom. As for the space group: I-42d (122).

Unit cell a=5.683 b=5.683 c=11.181 alpha=75.28 beta=75.28 gamma=90.00
Fractional positions:
Cd1 0.500 0.500 0.000
Cd2 0.250 0.750 0.500
Bi1 0.497 0.125 0.250
Bi2 0.253 0.625 0.250
Bi3 0.375 0.503 0.750
Bi4 0.875 0.747 0.750
Ba1 0.000 0.000 0.000
Ba2 0.750 0.250 0.500



Record 2
Computed, not measured: a geometry-optimized SnPC structure at the GGA-PBE level of DFT.

## Properties
The value obtained for the final energy is -33.12 eV for the cell shown. The total moment is 0.0 μB/f.u. For the density of states at the Fermi level, the calculation gives 0.46 states/eV/f.u. The formation energy comes out at 692 meV/atom. As for the space group: Cm (8). Its excess energy over the best structure of this formula in the dataset is 0.2418 eV per atom.

Unit cell a=4.955 b=3.629 c=6.348 alpha=90.00 beta=115.28 gamma=90.00
Fractional positions:
P1 0.650 0.000 0.533
P2 0.650 0.500 0.033
C1 0.034 0.000 0.663
C2 0.034 0.500 0.163
Sn1 0.259 0.000 0.072
Sn2 0.259 0.500 0.572



Record 3
Computed, not measured: a geometry-optimized Ba2CaMg12Ag3 structure at the GGA-PBE level of DFT.

## Properties
The value obtained for the final energy is -30.94 eV for the cell shown. The total moment is 0.0 μB/f.u. For the density of states at the Fermi level, the calculation gives 11.40 states/eV/f.u. The formation energy comes out at 144 meV/atom. As for the space group: R-3m (166).

Unit cell a=9.358 b=9.358 c=9.358 alpha=58.23 beta=58.23 gamma=58.23
Fractional positions:
Ba1 0.586 0.586 0.586
Ba2 0.414 0.414 0.414
Ca1 0.000 0.000 0.000
Mg1 0.235 0.235 0.876
Mg2 0.837 0.837 0.470
Mg3 0.470 0.837 0.837
Mg4 0.876 0.235 0.235
Mg5 0.837 0.470 0.837
Mg6 0.235 0.876 0.235
Mg7 0.765 0.765 0.124
Mg8 0.163 0.163 0.530
Mg9 0.530 0.163 0.163
Mg10 0.124 0.765 0.765
Mg11 0.163 0.530 0.163
Mg12 0.765 0.124 0.765
Ag1 0.500 0.000 0.000
Ag2 0.000 0.500 0.000
Ag3 0.000 0.000 0.500



Record 4
Computed, not measured: a geometry-optimized LiMnSe2 structure at the GGA-PBE level of DFT.

## Properties
The value obtained for the final energy is -18.76 eV for the cell shown. The total moment is 0.0 μB/f.u. For the density of states at the Fermi level, the calculation gives 0.50 states/eV/f.u. As for the space group: Fm-3m (225). As for the formation energy from raw total energies: -0.18 eV/atom.

Unit cell a=4.366 b=4.366 c=4.366 alpha=60.00 beta=60.00 gamma=60.00
Fractional positions:
Mn1 0.500 0.500 0.500
Se1 0.250 0.250 0.250
Se2 0.750 0.750 0.750
Li1 0.000 0.000 0.000



Record 5
Computed, not measured: a geometry-optimized Pr2SeI2 structure at the GGA-PBE level of DFT.

## Properties
The value obtained for the final energy is -24.13 eV for the cell shown. The total moment is 0.0 μB/f.u. For the density of states at the Fermi level, the calculation gives 1.03 states/eV/f.u. As for the space group: C2/m (12). As for the formation energy from raw total energies: -1.60 eV/atom.

Unit cell a=4.362 b=4.362 c=12.219 alpha=80.83 beta=79.72 gamma=60.01
Fractional positions:
Pr1 0.715 0.201 0.369
Pr2 0.285 0.799 0.631
Se1 0.000 0.500 0.500
I1 0.446 0.913 0.196
I2 0.554 0.087 0.804



Record 6
Computed, not measured: a geometry-optimized CeScAlAu structure at the GGA-PBE level of DFT.

## Properties
The value obtained for the final energy is -20.99 eV for the cell shown. The total moment is 0.8 μB/f.u. For the density of states at the Fermi level, the calculation gives 8.94 states/eV/f.u. The formation energy comes out at -426 meV/atom. As for the space group: F-43m (216).

Unit cell a=5.056 b=5.056 c=5.056 alpha=60.00 beta=60.00 gamma=60.00
Each line ends with the local moment (μB).
Fractional positions:
Sc1 0.750 0.750 0.750  0.10
Au1 0.000 0.000 0.000  0.02
Al1 0.500 0.500 0.500  0.00
Ce1 0.250 0.250 0.250  0.54



Record 7
Computed, not measured: a geometry-optimized LaMgN2F structure at the GGA-PBE level of DFT.

## Properties
The value obtained for the final energy is -25.37 eV for the cell shown. The total moment is 0.0 μB/f.u. For the density of states at the Fermi level, the calculation gives 1.43 states/eV/f.u. As for the space group: P4/mmm (123). As for the formation energy from raw total energies: -0.07 eV/atom. Its excess energy over the best structure of this formula in the dataset is 1.0824 eV per atom.

Unit cell a=3.825 b=5.462 c=3.825 alpha=90.00 beta=90.00 gamma=90.00
Fractional positions:
N1 0.000 0.000 0.500
N2 0.500 0.000 0.000
Mg1 0.000 0.000 0.000
F1 0.500 0.500 0.500
La1 0.000 0.500 0.000